[1]
VASP calculation (GGA-PBE) on SrIn3NiIr after structural relaxation.

Output
total DFT energy (no corrections): -50.73 eV/cell
formation energy from the elements: -137.9 meV per atom
DOS at the Fermi energy: 6.751 states/eV per cell
spin magnetization: 0.0000 μB per atom
SG: No. 63

Cell lengths 6.375, 8.076, 7.058 Å; angles 124.90, 90.00, 90.00 degrees
Sites, in units of the cell vectors:
In: 0.500 0.747 0.000
Sr: 0.750 0.287 0.574
Ni: 0.250 0.986 0.972
Ni: 0.750 0.014 0.028
In: 0.500 0.253 0.000
In: 0.000 0.747 0.000
In: 0.750 0.801 0.602
Sr: 0.250 0.713 0.426
Ir: 0.750 0.579 0.158
Ir: 0.250 0.421 0.842
In: 0.250 0.199 0.398
In: 0.000 0.253 0.000

***

[2]
VASP calculation (GGA-PBE) on SrIn4NiIr2 after structural relaxation.

Output
total DFT energy (no corrections): -37.54 eV/cell
formation energy from the elements: -175.5 meV per atom
DOS at the Fermi energy: 6.184 states/eV per cell
spin magnetization: 0.0000 μB per atom
SG: No. 166

Cell lengths 4.540, 4.540, 10.092 Å; angles 77.00, 77.00, 60.00 degrees
Sites, in units of the cell vectors:
In: 0.595 0.595 0.216
Sr: 0.000 0.000 0.000
Ir: 0.771 0.771 0.688
In: 0.134 0.134 0.597
Ni: 0.500 0.500 0.500
In: 0.866 0.866 0.403
In: 0.405 0.405 0.784
Ir: 0.229 0.229 0.312

***

[3]
VASP calculation (GGA-PBE) on TaInNiIr after structural relaxation.

Output
total DFT energy (no corrections): -30.14 eV/cell
formation energy from the elements: -226.9 meV per atom
DOS at the Fermi energy: 5.000 states/eV per cell
spin magnetization: 0.0017 μB per atom
SG: No. 216

Cell lengths 4.491, 4.491, 4.491 Å; angles 60.00, 60.00, 60.00 degrees
Sites, in units of the cell vectors:
Ta: 0.500 0.500 0.500
In: 0.000 0.000 0.000
Ni: 0.250 0.250 0.250
Ir: 0.750 0.750 0.750